This record from Alexandria via LeMat-Bulk describes an optimized crystal structure of Na2FeIO6. The functional is PBE with a Hubbard U.

Results
Symmetry: P2_1/c, No. 14
Total magnetic moment, μB/cell: 10.11
E, Ry per atom: -0.36977
Mass density, g cm⁻³: 4.7
Volume, Å³ per cell: 227.4

```
Na2FeIO6
1.0
5.417 0.000 -0.015
0.000 5.458 0.000
0.027 0.000 7.692
Na O Fe I
4 12 2 2
direct
0.493 0.466 0.249 Na
0.507 0.534 0.751 Na
0.993 0.034 0.749 Na
0.007 0.966 0.251 Na
0.718 0.298 0.960 O
0.697 0.283 0.541 O
0.282 0.702 0.040 O
0.303 0.717 0.459 O
0.782 0.798 0.540 O
0.197 0.217 0.041 O
0.803 0.783 0.959 O
0.421 0.982 0.741 O
0.218 0.202 0.460 O
0.079 0.482 0.759 O
0.579 0.018 0.259 O
0.921 0.518 0.241 O
0.000 0.500 0.500 Fe
0.500 0.000 0.000 Fe
0.000 0.500 0.000 I
0.500 0.000 0.500 I
```